Entry 1:
Here is SmGe2IrPt after structural relaxation from OQMD. Energies are from PBE.

Calculated values
Distance to the lowest polymorph of the same formula, eV per atom: 0.044
V, Å³/cell: 188.7

Structure (POSCAR):
```
SmGe2IrPt
1.0
4.341 0.000 0.000
0.000 4.341 0.000
0.000 0.000 10.010
Sm Pt Ge Ir
2 2 4 2
Direct
0.500 0.000 0.258 Sm
0.000 0.500 0.742 Sm
0.000 0.000 0.000 Pt
0.500 0.500 0.000 Pt
0.000 0.000 0.500 Ge
0.500 0.000 0.864 Ge
0.500 0.500 0.500 Ge
0.000 0.500 0.136 Ge
0.500 0.000 0.623 Ir
0.000 0.500 0.377 Ir
```



Entry 2:
Here is InNiMoW after structural relaxation from OQMD. Energies are from PBE.

Calculated values
V, Å³/cell: 63.6
VASP energy, eV per atom: -7.680

Structure (POSCAR):
```
InNiMoW
1.0
1.360 1.489 4.000
-1.952 -1.515 3.737
2.250 -2.722 2.757
Ni Mo W In
1 1 1 1
Direct
0.750 0.750 0.750 Ni
0.250 0.250 0.250 Mo
0.500 0.500 0.500 W
0.000 0.000 0.000 In
```



Entry 3:
Here is Sr2FePtN6 after structural relaxation from OQMD. Energies are from PBE.

Calculated values
Distance to the lowest polymorph of the same formula, eV per atom: 0.001
V, Å³/cell: 122.4

Structure (POSCAR):
```
Sr2FePtN6
1.0
-1.186 2.318 -4.919
-4.576 3.092 -0.699
4.353 1.912 3.146
N Sr Fe Pt
6 2 1 1
Direct
0.242 0.242 0.189 N
0.731 0.212 0.729 N
0.788 0.269 0.271 N
0.269 0.788 0.271 N
0.212 0.731 0.729 N
0.758 0.758 0.811 N
0.748 0.748 0.247 Sr
0.252 0.252 0.753 Sr
0.000 0.000 0.000 Fe
0.500 0.500 0.500 Pt
```



Entry 4:
Here is ZnH6C10Br2N6 after structural relaxation from OQMD. Energies are from PBE.

Calculated values
V, Å³/cell: 1365.8
VASP energy, eV per atom: -6.637

Structure (POSCAR):
```
ZnH6C10Br2N6
1.0
-0.880 3.771 -4.128
-4.884 -9.916 -8.019
-15.475 -0.427 9.953
C H N Br Zn
40 24 24 8 4
Direct
0.309 0.902 0.022 C
0.437 0.797 0.932 C
0.312 0.692 0.487 C
0.437 0.703 0.432 C
0.681 0.366 0.079 C
0.688 0.308 0.513 C
0.057 0.254 0.366 C
0.943 0.754 0.134 C
0.681 0.134 0.579 C
0.828 0.246 0.312 C
0.172 0.746 0.188 C
0.074 0.083 0.844 C
0.194 0.852 0.476 C
0.309 0.598 0.522 C
0.194 0.648 0.976 C
0.074 0.417 0.344 C
0.806 0.148 0.524 C
0.169 0.168 0.406 C
0.691 0.098 0.978 C
0.563 0.203 0.068 C
0.319 0.866 0.421 C
0.844 0.088 0.791 C
0.563 0.297 0.568 C
0.172 0.754 0.688 C
0.831 0.832 0.594 C
0.169 0.332 0.906 C
0.691 0.402 0.478 C
0.806 0.352 0.024 C
0.844 0.412 0.291 C
0.057 0.246 0.866 C
0.926 0.917 0.156 C
0.156 0.912 0.209 C
0.943 0.746 0.634 C
0.831 0.668 0.094 C
0.319 0.634 0.921 C
0.926 0.583 0.656 C
0.156 0.588 0.709 C
0.688 0.192 0.013 C
0.828 0.254 0.812 C
0.312 0.808 0.987 C
0.172 0.487 0.356 H
0.902 0.087 0.506 H
0.246 0.977 0.240 H
0.463 0.144 0.086 H
0.172 0.013 0.856 H
0.729 0.177 0.299 H
0.327 0.938 0.396 H
0.754 0.023 0.760 H
0.754 0.477 0.260 H
0.537 0.644 0.414 H
0.828 0.987 0.144 H
0.673 0.438 0.104 H
0.098 0.587 0.994 H
0.537 0.856 0.914 H
0.098 0.913 0.494 H
0.729 0.323 0.799 H
0.902 0.413 0.006 H
0.271 0.823 0.701 H
0.271 0.677 0.201 H
0.463 0.356 0.586 H
0.327 0.562 0.896 H
0.673 0.062 0.604 H
0.828 0.513 0.644 H
0.246 0.523 0.740 H
0.562 0.208 0.601 N
0.694 0.478 0.449 N
0.694 0.022 0.949 N
0.724 0.173 0.775 N
0.562 0.292 0.101 N
0.744 0.902 0.562 N
0.182 0.162 0.882 N
0.189 0.765 0.509 N
0.811 0.235 0.491 N
0.182 0.338 0.382 N
0.818 0.838 0.118 N
0.744 0.598 0.062 N
0.276 0.673 0.725 N
0.189 0.735 0.009 N
0.256 0.402 0.938 N
0.306 0.978 0.051 N
0.276 0.827 0.225 N
0.438 0.792 0.399 N
0.256 0.098 0.438 N
0.306 0.522 0.551 N
0.818 0.662 0.618 N
0.724 0.327 0.275 N
0.438 0.708 0.899 N
0.811 0.265 0.991 N
0.181 0.174 0.198 Br
0.819 0.826 0.802 Br
0.252 0.021 0.673 Br
0.748 0.521 0.827 Br
0.252 0.479 0.173 Br
0.748 0.979 0.327 Br
0.181 0.326 0.698 Br
0.819 0.674 0.302 Br
0.399 0.183 0.687 Zn
0.601 0.683 0.813 Zn
0.601 0.817 0.313 Zn
0.399 0.317 0.187 Zn
```